A relaxed Mn2CrAu crystal, computed with PBE.

For the formation energy, the calculation gives 0.22 eV/atom. Its total magnetic moment is 0.0 μB per formula unit. As for the space group: Pmm2, No. 25.

abc: 2.709 3.512 5.454
angles: 90.00 90.00 90.00
Atoms (fractional coordinates):
1 Mn 0.000 0.000 0.000
2 Mn 0.500 0.500 0.186
3 Cr 0.500 0.500 0.797
4 Au 0.000 0.000 0.493

=====

A relaxed Mn2CrAu crystal, computed with PBE.

For the formation energy, the calculation gives 0.27 eV/atom. Its total magnetic moment is 4.3 μB per formula unit. As for the space group: R-3m, No. 166.

abc: 8.404 8.404 8.404
angles: 19.70 19.70 19.70
Atoms (fractional coordinates):
1 Mn 0.242 0.242 0.242
2 Mn 0.758 0.758 0.758
3 Cr 0.500 0.500 0.500
4 Au 0.000 0.000 0.000